# GGA-PBE BSbTe2Ru, optimized geometry
data_BSbTe2Ru
_cell_length_a 5.319
_cell_length_b 5.319
_cell_length_c 4.964
_cell_angle_alpha 90.00
_cell_angle_beta 90.00
_cell_angle_gamma 90.00
_space_group_name_H-M_alt 'P 4/m m m'
_space_group_IT_number 123
_space_group_name_Hall '-P 4 2'
loop_
_atom_site_label
_atom_site_type_symbol
_atom_site_fract_x
_atom_site_fract_y
_atom_site_fract_z
B1 B 0.000 0.000 0.000
Sb1 Sb 0.500 0.500 0.000
Te1 Te 0.000 0.500 0.500
Ru1 Ru 0.500 0.500 0.500
# **ΔE_f (raw)**: 1.3215 eV per atom
# **Energy relative to the lowest polymorph listed for this composition**: 261.7 meV/atom
# **Calculated total energy**: -0.1452 Ha/atom

=====

# GGA-PBE BeBSb2, optimized geometry
data_BeBSb2
_cell_length_a 6.548
_cell_length_b 6.548
_cell_length_c 6.548
_cell_angle_alpha 90.00
_cell_angle_beta 90.00
_cell_angle_gamma 90.00
_space_group_name_H-M_alt 'F m -3 m'
_space_group_IT_number 225
_space_group_name_Hall '-F 4 2 3'
loop_
_atom_site_label
_atom_site_type_symbol
_atom_site_fract_x
_atom_site_fract_y
_atom_site_fract_z
Be1 Be 0.000 0.000 0.000
B1 B 0.000 0.000 0.500
Sb1 Sb 0.250 0.250 0.250
# **ΔE_f (raw)**: 1.1428 eV per atom
# **Energy relative to the lowest polymorph listed for this composition**: 792.5 meV/atom
# **Calculated total energy**: -0.1293 Ha/atom

=====

# GGA-PBE TbPu5P6, optimized geometry
data_TbPu5P6
_cell_length_a 6.929
_cell_length_b 11.999
_cell_length_c 6.930
_cell_angle_alpha 90.00
_cell_angle_beta 109.48
_cell_angle_gamma 90.00
_space_group_name_H-M_alt 'C 1 2/m 1'
_space_group_IT_number 12
loop_
_space_group_symop_operation_xyz
'x,y,z'
'-x,-y,-z'
'-x,y,-z'
'x,-y,z'
'x+1/2,y+1/2,z'
'-x+1/2,-y+1/2,-z'
'-x+1/2,y+1/2,-z'
'x+1/2,-y+1/2,z'
loop_
_atom_site_label
_atom_site_type_symbol
_atom_site_fract_x
_atom_site_fract_y
_atom_site_fract_z
Tb1 Tb 0.000 0.000 0.000
Pu1 Pu 0.000 0.165 0.500
Pu2 Pu 0.000 0.333 0.000
Pu3 Pu 0.000 0.500 0.500
P1 P 0.246 0.500 0.252
P2 P 0.247 0.331 0.747
# **Calculated total energy**: -0.3782 Ha/atom
# **Energy of formation from the pure elements**: -1423 kJ/mol of formula units

=====

# GGA-PBE Sm8Tm5Pu, optimized geometry
data_Sm8Tm5Pu
_cell_length_a 14.342
_cell_length_b 8.868
_cell_length_c 9.298
_cell_angle_alpha 90.00
_cell_angle_beta 128.26
_cell_angle_gamma 90.00
_space_group_name_H-M_alt 'C 1 2 1'
_space_group_IT_number 5
loop_
_space_group_symop_operation_xyz
'x,y,z'
'-x,y,-z'
'x+1/2,y+1/2,z'
'-x+1/2,y+1/2,-z'
loop_
_atom_site_label
_atom_site_type_symbol
_atom_site_fract_x
_atom_site_fract_y
_atom_site_fract_z
Sm1 Sm 0.034 0.000 0.362
Sm2 Sm 0.186 0.421 0.715
Sm3 Sm 0.199 0.675 0.427
Sm4 Sm 0.247 0.346 0.180
Tm1 Tm 0.000 0.041 0.000
Tm2 Tm 0.035 0.365 0.227
Tm3 Tm 0.100 0.686 0.954
Pu1 Pu 0.000 0.681 0.500
# **Calculated total energy**: -0.1873 Ha/atom
# **Energy of formation from the pure elements**: 298 kJ/mol of formula units

=====

# GGA-PBE Li2Sm2HoPb2, optimized geometry
data_Li2Sm2HoPb2
_cell_length_a 4.8402
_cell_length_b 4.8402
_cell_length_c 27.3534
_cell_angle_alpha 90.00
_cell_angle_beta 90.00
_cell_angle_gamma 120.00
_space_group_name_H-M_alt 'R -3 m'
_space_group_IT_number 166
_space_group_name_Hall '-R 3 2"'
loop_
_atom_site_label
_atom_site_type_symbol
_atom_site_fract_x
_atom_site_fract_y
_atom_site_fract_z
Li1 Li 0.0000 0.0000 0.1026
Sm1 Sm 0.0000 0.0000 0.3720
Ho1 Ho 0.0000 0.0000 0.5000
Pb1 Pb 0.0000 0.0000 0.2332
# **Calculated total energy**: -0.1443 Ha/atom
# **Energy of formation from the pure elements**: -215 kJ/mol of formula units

=====

# GGA-PBE Cd2SiAg, optimized geometry
data_Cd2SiAg
_cell_length_a 3.044
_cell_length_b 3.044
_cell_length_c 8.499
_cell_angle_alpha 90.00
_cell_angle_beta 90.00
_cell_angle_gamma 90.00
_space_group_name_H-M_alt 'P 4/m m m'
_space_group_IT_number 123
_space_group_name_Hall '-P 4 2'
loop_
_atom_site_label
_atom_site_type_symbol
_atom_site_fract_x
_atom_site_fract_y
_atom_site_fract_z
Cd1 Cd 0.000 0.000 0.249
Si1 Si 0.500 0.500 0.500
Ag1 Ag 0.500 0.500 0.000
# **ΔE_f (raw)**: 0.2291 eV per atom
# **Calculated total energy**: -0.0844 Ha/atom

=====

# GGA-PBE Ni2BN, optimized geometry
data_Ni2BN
_cell_length_a 4.329
_cell_length_b 4.329
_cell_length_c 9.035
_cell_angle_alpha 90.00
_cell_angle_beta 90.00
_cell_angle_gamma 90.00
_space_group_name_H-M_alt 'I -4 2 d'
_space_group_IT_number 122
_space_group_name_Hall 'I -4 2bw'
loop_
_atom_site_label
_atom_site_type_symbol
_atom_site_fract_x
_atom_site_fract_y
_atom_site_fract_z
Ni1 Ni 0.227 0.250 0.125
B1 B 0.000 0.000 0.500
N1 N 0.000 0.000 0.000
# **ΔE_f (raw)**: 0.4749 eV per atom
# **Calculated total energy**: -0.2266 Ha/atom

=====

# GGA-PBE Cs2SrCl6O, optimized geometry
data_Cs2SrCl6O
_cell_length_a 7.120
_cell_length_b 7.120
_cell_length_c 13.158
_cell_angle_alpha 90.00
_cell_angle_beta 90.00
_cell_angle_gamma 90.00
_space_group_name_H-M_alt 'I 4/m m m'
_space_group_IT_number 139
_space_group_name_Hall '-I 4 2'
loop_
_atom_site_label
_atom_site_type_symbol
_atom_site_fract_x
_atom_site_fract_y
_atom_site_fract_z
Cs1 Cs 0.000 0.500 0.250
Sr1 Sr 0.000 0.000 0.000
Cl1 Cl 0.000 0.000 0.213
Cl2 Cl 0.212 0.212 0.500
O1 O 0.000 0.000 0.500
# **ΔE_f (raw)**: -1.2404 eV per atom
# **Calculated total energy**: -0.1170 Ha/atom